CsCuF3 | PBE | relaxed

Unit cell a=4.8167 b=6.3044 c=10.7241 alpha=90.00 beta=90.00 gamma=90.00
With the nearest neighbours (Å) after each atom.
Fractional positions:
F  0.7915  0.0312  0.8297  1 Cu 1.83
Cu  0.3548  0.7500  0.7022  4 F 1.83-2.03
F  0.2794  0.2500  0.3811  2 Cu 1.98-2.03
Cs  0.2053  0.7500  0.4129  9 F 2.90-3.21, 1 Cu 3.18
F  0.7794  0.2500  0.1189  2 Cu 1.98-2.03
Cu  0.1452  0.2500  0.2022  4 F 1.83-2.03
Cs  0.7053  0.7500  0.0871  9 F 2.90-3.21, 1 Cu 3.18
F  0.7085  0.9688  0.3297  1 Cu 1.83
F  0.2085  0.9688  0.1703  1 Cu 1.83
F  0.7206  0.7500  0.6189  2 Cu 1.98-2.03
F  0.2915  0.0312  0.6703  1 Cu 1.83
F  0.2206  0.7500  0.8811  2 Cu 1.98-2.03
F  0.2915  0.4688  0.6703  1 Cu 1.83
F  0.7085  0.5312  0.3297  1 Cu 1.83
Cu  0.8548  0.7500  0.7978  4 F 1.83-2.03
Cu  0.6452  0.2500  0.2978  4 F 1.83-2.03
F  0.2085  0.5312  0.1703  1 Cu 1.83
F  0.7915  0.4688  0.8297  1 Cu 1.83
Cs  0.7947  0.2500  0.5871  9 F 2.90-3.21, 1 Cu 3.18
Cs  0.2947  0.2500  0.9129  9 F 2.90-3.21, 1 Cu 3.18

V	16.3	Å³ per atom
uncorrected energy	-78.028	eV for the cell shown